Record 1
A plane-wave DFT calculation with PBE was carried out for a relaxed CdGaSb crystal.

The space group is Immm (No. 71) and the conventional cell measures 3.318, 5.332 and 16.788 Å, with angles of 90.00, 90.00 and 90.00 degrees. The distinct sites, in fractional coordinates, are Cd at (0.000, 0.000, 0.156), Ga at (0.000, 0.255, 0.500) and Sb at (0.000, 0.000, 0.339).

The value obtained for the electronic total energy is -2.57 eV per atom.



Record 2
A plane-wave DFT calculation with PBE was carried out for a relaxed Cd2GaSb crystal.

The space group is R3m (No. 160, hexagonal axes) and the conventional cell measures 4.4417, 4.4417 and 18.0507 Å, with angles of 90.00, 90.00 and 120.00 degrees. The distinct sites, in fractional coordinates, are Cd at (0.0000, 0.0000, 0.0000), Cd at (0.0000, 0.0000, 0.1842), Ga at (0.0000, 0.0000, 0.5911) and Sb at (0.0000, 0.0000, 0.7527).

The value obtained for the electronic total energy is -2.17 eV per atom.



Record 3
A plane-wave DFT calculation with PBE was carried out for a relaxed CdGa2Sb2 crystal.

The space group is I4/mmm (No. 139) and the conventional cell measures 4.207, 4.207 and 14.730 Å, with angles of 90.00, 90.00 and 90.00 degrees. The distinct sites, in fractional coordinates, are Cd at (0.000, 0.000, 0.000), Ga at (0.000, 0.500, 0.250) and Sb at (0.000, 0.000, 0.381).

The value obtained for the electronic total energy is -2.96 eV per atom.



Record 4
A plane-wave DFT calculation with PBE was carried out for a relaxed Cd2GaSb2 crystal.

The space group is I4/mmm (No. 139) and the conventional cell measures 4.396, 4.396 and 14.432 Å, with angles of 90.00, 90.00 and 90.00 degrees. The distinct sites, in fractional coordinates, are Cd at (0.000, 0.500, 0.250), Ga at (0.000, 0.000, 0.000) and Sb at (0.000, 0.000, 0.392).

The value obtained for the electronic total energy is -2.49 eV per atom.



Record 5
A plane-wave DFT calculation with PBE was carried out for a relaxed CdGa4Sb crystal.

The space group is F-43m (No. 216) and the conventional cell measures 8.083, 8.083 and 8.083 Å, with angles of 90.00, 90.00 and 90.00 degrees. The distinct sites, in fractional coordinates, are Cd at (0.000, 0.000, 0.000), Ga at (0.125, 0.125, 0.625) and Sb at (0.250, 0.250, 0.250).

The value obtained for the electronic total energy is -2.74 eV per atom.



Record 6
A plane-wave DFT calculation with PBE was carried out for a relaxed CdGaSb3 crystal.

The space group is Pm-3m (No. 221) and the conventional cell measures 5.565, 5.565 and 5.565 Å, with angles of 90.00, 90.00 and 90.00 degrees. The distinct sites, in fractional coordinates, are Cd at (0.000, 0.000, 0.000), Ga at (0.500, 0.500, 0.500) and Sb at (0.000, 0.000, 0.500).

The value obtained for the electronic total energy is -2.55 eV per atom.



Record 7
A plane-wave DFT calculation with PBE was carried out for a relaxed Cd3Ga5Sb12 crystal.

The space group is Ia-3d (No. 230) and the conventional cell measures 16.998, 16.998 and 16.998 Å, with angles of 90.00, 90.00 and 90.00 degrees. The distinct sites, in fractional coordinates, are Cd at (0.000, 0.250, 0.125), Ga at (0.000, 0.000, 0.000), Ga at (0.000, 0.250, 0.375) and Sb at (0.046, 0.084, 0.640).

The value obtained for the electronic total energy is -3.21 eV per atom.



Record 8
A plane-wave DFT calculation with PBE was carried out for a relaxed Cd2GaSb crystal.

The space group is P4/mmm (No. 123) and the conventional cell measures 4.581, 4.581 and 4.523 Å, with angles of 90.00, 90.00 and 90.00 degrees. The distinct sites, in fractional coordinates, are Cd at (0.000, 0.500, 0.000), Ga at (0.000, 0.000, 0.500) and Sb at (0.500, 0.500, 0.500).

The value obtained for the electronic total energy is -2.17 eV per atom.



Record 9
A plane-wave DFT calculation with PBE was carried out for a relaxed Cd12Ga3Sb5 crystal.

The space group is Ia-3d (No. 230) and the conventional cell measures 16.626, 16.626 and 16.626 Å, with angles of 90.00, 90.00 and 90.00 degrees. The distinct sites, in fractional coordinates, are Cd at (0.024, 0.089, 0.650), Ga at (0.000, 0.250, 0.125), Sb at (0.000, 0.000, 0.000) and Sb at (0.000, 0.250, 0.375).

The value obtained for the electronic total energy is -1.96 eV per atom.



Record 10
A plane-wave DFT calculation with PBE was carried out for a relaxed CdGaSb2 crystal.

The space group is Fm-3m (No. 225) and the conventional cell measures 7.343, 7.343 and 7.343 Å, with angles of 90.00, 90.00 and 90.00 degrees. The distinct sites, in fractional coordinates, are Cd at (0.000, 0.000, 0.000), Ga at (0.000, 0.000, 0.500) and Sb at (0.250, 0.250, 0.250).

The value obtained for the electronic total energy is -2.90 eV per atom.



Record 11
A plane-wave DFT calculation with PBE was carried out for a relaxed CdGaSb crystal.

The space group is P3m1 (No. 156) and the conventional cell measures 4.7811, 4.7811 and 3.7663 Å, with angles of 90.00, 90.00 and 120.00 degrees. The distinct sites, in fractional coordinates, are Cd at (0.0000, 0.0000, 0.0000), Ga at (0.6667, 0.3333, 0.3321) and Sb at (0.3333, 0.6667, 0.6658).

The value obtained for the electronic total energy is -2.57 eV per atom.



Record 12
A plane-wave DFT calculation with PBE was carried out for a relaxed CdGaSb3 crystal.

The space group is Pm-3m (No. 221) and the conventional cell measures 5.350, 5.350 and 5.350 Å, with angles of 90.00, 90.00 and 90.00 degrees. The distinct sites, in fractional coordinates, are Cd at (0.000, 0.000, 0.000), Ga at (0.500, 0.500, 0.500) and Sb at (0.000, 0.500, 0.500).

The value obtained for the electronic total energy is -2.69 eV per atom.